(1)
A relaxed SrSiSe crystal, computed with GGA-PBEsol.

```
3
Lattice="-2.0883 2.0883 4.7674 2.0883 -2.0883 4.7674 2.0883 2.0883 -4.7674" Properties=species:S:1:pos:R:3 pbc="T T T"
Sr 0.0000 0.0000 0.0000
Si 0.0000 0.0000 6.2619
Se 0.0000 0.0000 3.9243
```

ρ, Mg/m³: 3.887
Formation energy (no corrections), eV/atom: -0.534
Total moment, μB per cell: 0.00

---

(2)
A relaxed TaSi3Se crystal, computed with GGA-PBEsol.

```
5
Lattice="4.8734 0.0000 0.0000 0.0000 4.8734 0.0000 0.0000 0.0000 4.8734" Properties=species:S:1:pos:R:3 pbc="T T T"
Ta 0.0000 0.0000 0.0000
Si 0.0000 0.0000 2.4367
Si 0.0000 2.4367 0.0000
Si 2.4367 0.0000 0.0000
Se 2.4367 2.4367 2.4367
```

ρ, Mg/m³: 4.937
Excess energy over the best structure of this formula in the dataset, eV/atom: 0.000
Formation energy (no corrections), eV/atom: 0.890
Total moment, μB per cell: 0.00

---

(3)
A relaxed TaSiSe crystal, computed with GGA-PBEsol.

```
3
Lattice="0.0000 3.0909 3.0909 3.0909 0.0000 3.0909 3.0909 3.0909 0.0000" Properties=species:S:1:pos:R:3 pbc="T T T"
Ta 0.0000 0.0000 0.0000
Si 4.6364 4.6364 4.6364
Se 1.5455 1.5455 1.5455
```

ρ, Mg/m³: 8.097
Formation energy (no corrections), eV/atom: 0.287
Total moment, μB per cell: 0.00

---

(4)
A relaxed TaSi3Se crystal, computed with GGA-PBEsol.

```
5
Lattice="4.5815 0.0000 0.0000 0.0000 4.5815 0.0000 0.0000 0.0000 4.5815" Properties=species:S:1:pos:R:3 pbc="T T T"
Ta 0.0000 0.0000 0.0000
Si 0.0000 2.2907 2.2907
Si 2.2907 0.0000 2.2907
Si 2.2907 2.2907 0.0000
Se 2.2907 2.2907 2.2907
```

ρ, Mg/m³: 5.943
Excess energy over the best structure of this formula in the dataset, eV/atom: 0.454
Formation energy (no corrections), eV/atom: 1.344
Total moment, μB per cell: 0.00